[1]
! Cu3Ag7 PBE relaxed; values from VASP
! **Energy of formation**: 72 meV per atom
! **Final energy**: -30.2 eV per formula unit
! **SG**: P-1 (2)
! **Energy relative to the lowest polymorph listed for this composition**: 43 meV/atom
&SYSTEM
  ibrav = 0, nat = 10, ntyp = 2
/
ATOMIC_SPECIES
Cu 63.55 Cu.upf
Ag 107.87 Ag.upf
ATOMIC_POSITIONS crystal
Cu 0.000 0.000 0.000
Cu 0.275 0.601 0.094
Cu 0.725 0.399 0.906
Ag 0.118 0.201 0.720
Ag 0.190 0.401 0.390
Ag 0.423 0.791 0.813
Ag 0.500 0.000 0.500
Ag 0.577 0.209 0.187
Ag 0.810 0.599 0.610
Ag 0.882 0.799 0.280
CELL_PARAMETERS angstrom
4.931 0.000 0.000
-0.829 4.873 0.000
-1.817 -2.567 6.700

***

[2]
! CuAg PBE relaxed; values from VASP
! **Energy of formation**: 102 meV per atom
! **Final energy**: -6.3 eV per formula unit
! **SG**: Pm (6)
&SYSTEM
  ibrav = 0, nat = 10, ntyp = 2
/
ATOMIC_SPECIES
Cu 63.55 Cu.upf
Ag 107.87 Ag.upf
ATOMIC_POSITIONS crystal
Cu 0.000 0.000 0.000
Cu 0.104 0.500 0.817
Cu 0.299 0.500 0.396
Cu 0.494 0.500 0.003
Cu 0.887 0.500 0.181
Ag 0.199 0.000 0.604
Ag 0.380 0.000 0.194
Ag 0.603 0.000 0.813
Ag 0.698 0.500 0.599
Ag 0.811 0.000 0.385
CELL_PARAMETERS angstrom
4.759 0.000 0.000
0.000 2.811 0.000
-1.228 0.000 11.171